CrCu4Br: relaxed, PBE.

Calculated values
M_tot: 0.80 μB/atom
Crystal system: cubic
Electronic total energy: -4.212 eV per atom

a b c (Å): 7.124 7.124 7.124
angles (deg): 90.00 90.00 90.00
Space group F-43m (No. 216)
Symmetry-distinct sites (fractional):
Cr 0.000 0.000 0.000
Cu 0.126 0.126 0.626
Br 0.250 0.250 0.250



CrCuBr2: relaxed, PBE.

Calculated values
M_tot: 1.23 μB/atom
Crystal system: orthorhombic
Electronic total energy: -4.142 eV per atom

a b c (Å): 3.763 7.123 7.419
angles (deg): 90.00 90.00 90.00
Space group Cmmm (No. 65)
Symmetry-distinct sites (fractional):
Cr 0.000 0.000 0.000
Cu 0.000 0.000 0.500
Br 0.000 0.500 0.260



CrCuBr2: relaxed, PBE.

Calculated values
M_tot: 1.19 μB/atom
Crystal system: orthorhombic
Electronic total energy: -4.149 eV per atom

a b c (Å): 3.731 3.771 6.761
angles (deg): 90.00 90.00 90.00
Space group Pmmm (No. 47)
Symmetry-distinct sites (fractional):
Cr 0.000 0.000 0.000
Cu 0.000 0.500 0.500
Br 0.500 0.000 0.500
Br 0.500 0.500 0.000



CrCu2Br: relaxed, PBE.

Calculated values
M_tot: 0.97 μB/atom
Crystal system: monoclinic
Electronic total energy: -4.572 eV per atom

a b c (Å): 7.877 3.299 6.291
angles (deg): 90.00 98.65 90.00
Space group Cm (No. 8)
Symmetry-distinct sites (fractional):
Cr 0.000 0.000 0.000
Cu 0.049 0.500 0.688
Cu 0.272 0.000 0.803
Br 0.096 0.500 0.303



CrCuBr4: relaxed, PBE.

Calculated values
M_tot: 0.50 μB/atom
Crystal system: monoclinic
Electronic total energy: -3.944 eV per atom

a b c (Å): 6.650 3.703 6.822
angles (deg): 90.00 95.42 90.00
Space group P2/m (No. 10)
Symmetry-distinct sites (fractional):
Cr 0.000 0.000 0.000
Cu 0.000 0.500 0.500
Br 0.195 0.000 0.697
Br 0.232 0.500 0.150



CrCu2Br: relaxed, PBE.

Calculated values
M_tot: 1.18 μB/atom
Crystal system: monoclinic
Electronic total energy: -4.509 eV per atom

a b c (Å): 3.403 3.430 6.272
angles (deg): 90.00 90.91 90.00
Space group P2/m (No. 10)
Symmetry-distinct sites (fractional):
Cr 0.000 0.000 0.000
Cu 0.494 0.500 0.809
Br 0.500 0.000 0.500



CrCu2GeBr: relaxed, PBE.

Calculated values
M_tot: 0.68 μB/atom
Crystal system: tetragonal
Electronic total energy: -3.833 eV per atom

a b c (Å): 4.618 4.618 4.879
angles (deg): 90.00 90.00 90.00
Space group P4/mmm (No. 123)
Symmetry-distinct sites (fractional):
Cr 0.000 0.000 0.000
Cu 0.000 0.500 0.500
Ge 0.500 0.500 0.000
Br 0.000 0.000 0.500



Cr2CuGeBr: relaxed, PBE.

Calculated values
M_tot: 1.56 μB/atom
Crystal system: tetragonal
Electronic total energy: -4.597 eV per atom

a b c (Å): 4.735 4.735 5.226
angles (deg): 90.00 90.00 90.00
Space group P4/mmm (No. 123)
Symmetry-distinct sites (fractional):
Cr 0.000 0.500 0.000
Cu 0.000 0.000 0.500
Ge 0.500 0.500 0.500
Br 0.500 0.500 0.000



CrCuHBr2: relaxed, PBE.

Calculated values
M_tot: 0.79 μB/atom
Crystal system: tetragonal
Electronic total energy: -3.727 eV per atom

a b c (Å): 5.083 5.083 3.393
angles (deg): 90.00 90.00 90.00
Space group P4/mmm (No. 123)
Symmetry-distinct sites (fractional):
Cr 0.000 0.000 0.000
Cu 0.500 0.500 0.000
H 0.000 0.000 0.500
Br 0.000 0.500 0.500



KCrCu2Br6: relaxed, PBE.

Calculated values
M_tot: 0.30 μB/atom
Crystal system: monoclinic
Electronic total energy: -3.553 eV per atom

a b c (Å): 14.170 12.544 8.051
angles (deg): 90.00 113.71 90.00
Space group C2/c (No. 15)
Symmetry-distinct sites (fractional):
K 0.000 0.151 0.250
Cr 0.000 0.205 0.750
Cu 0.187 0.452 0.194
Br 0.115 0.085 0.685
Br 0.123 0.270 0.040
Br 0.160 0.419 0.463



CrCuBr2N: relaxed, PBE.

Calculated values
M_tot: 0.93 μB/atom
Crystal system: tetragonal
Electronic total energy: -4.336 eV per atom

a b c (Å): 5.222 5.222 3.578
angles (deg): 90.00 90.00 90.00
Space group P4/mmm (No. 123)
Symmetry-distinct sites (fractional):
Cr 0.000 0.000 0.000
Cu 0.500 0.500 0.000
Br 0.000 0.500 0.500
N 0.500 0.500 0.500



CrCuPb2Br: relaxed, PBE.

Calculated values
M_tot: 0.95 μB/atom
Crystal system: tetragonal
Electronic total energy: -4.131 eV per atom

a b c (Å): 5.208 5.208 5.112
angles (deg): 90.00 90.00 90.00
Space group P4/mmm (No. 123)
Symmetry-distinct sites (fractional):
Cr 0.000 0.000 0.000
Cu 0.000 0.000 0.500
Pb 0.000 0.500 0.500
Br 0.500 0.500 0.000



CrCuPd2Br: relaxed, PBE.

Calculated values
M_tot: 0.66 μB/atom
Crystal system: tetragonal
Electronic total energy: -4.292 eV per atom

a b c (Å): 4.787 4.787 4.671
angles (deg): 90.00 90.00 90.00
Space group P4/mmm (No. 123)
Symmetry-distinct sites (fractional):
Cr 0.000 0.000 0.000
Cu 0.500 0.500 0.500
Pd 0.000 0.500 0.000
Br 0.000 0.000 0.500



Rb3CrCu2Br9: relaxed, PBE.

Calculated values
M_tot: 0.26 μB/atom
Crystal system: trigonal
Electronic total energy: -3.355 eV per atom

a b c (Å): 7.4176 7.4176 9.1240
angles (deg): 90.00 90.00 120.00
Space group P-3m1 (No. 164)
Symmetry-distinct sites (fractional):
Rb 0.0000 0.0000 0.0000
Rb 0.3333 0.6667 0.6652
Cr 0.0000 0.0000 0.5000
Cu 0.3333 0.6667 0.1503
Br 0.0000 0.5000 0.0000
Br 0.1632 0.3263 0.3382



CrCuSeBr2: relaxed, PBE.

Calculated values
M_tot: 0.59 μB/atom
Crystal system: tetragonal
Electronic total energy: -3.922 eV per atom

a b c (Å): 5.148 5.148 4.800
angles (deg): 90.00 90.00 90.00
Space group P4/mmm (No. 123)
Symmetry-distinct sites (fractional):
Cr 0.000 0.000 0.000
Cu 0.500 0.500 0.500
Se 0.000 0.000 0.500
Br 0.000 0.500 0.000



Cr2CuSe3Br: relaxed, PBE.

Calculated values
M_tot: 0.86 μB/atom
Crystal system: trigonal
Electronic total energy: -5.527 eV per atom

a b c (Å): 7.4835 7.4835 18.4157
angles (deg): 90.00 90.00 120.00
Space group R-3m (No. 166, hexagonal axes)
Symmetry-distinct sites (fractional):
Cr 0.0000 0.0000 0.0000
Cr 0.0000 0.5000 0.5000
Cu 0.0000 0.0000 0.4022
Se 0.0279 0.5140 0.7540
Br 0.0000 0.0000 0.2449



CrCuSe2Br: relaxed, PBE.

Calculated values
M_tot: 0.49 μB/atom
Crystal system: tetragonal
Electronic total energy: -4.146 eV per atom

a b c (Å): 4.781 4.781 5.225
angles (deg): 90.00 90.00 90.00
Space group P4/mmm (No. 123)
Symmetry-distinct sites (fractional):
Cr 0.000 0.000 0.000
Cu 0.500 0.500 0.500
Se 0.000 0.500 0.000
Br 0.000 0.000 0.500



CrCuSi2Br: relaxed, PBE.

Calculated values
M_tot: 0.27 μB/atom
Crystal system: tetragonal
Electronic total energy: -4.455 eV per atom

a b c (Å): 4.508 4.508 5.098
angles (deg): 90.00 90.00 90.00
Space group P4/mmm (No. 123)
Symmetry-distinct sites (fractional):
Cr 0.000 0.000 0.000
Cu 0.500 0.500 0.500
Si 0.000 0.500 0.000
Br 0.000 0.000 0.500



CrCu2SnBr: relaxed, PBE.

Calculated values
M_tot: 0.73 μB/atom
Crystal system: tetragonal
Electronic total energy: -3.953 eV per atom

a b c (Å): 4.859 4.859 5.424
angles (deg): 90.00 90.00 90.00
Space group P4/mmm (No. 123)
Symmetry-distinct sites (fractional):
Cr 0.000 0.000 0.000
Cu 0.000 0.500 0.500
Sn 0.000 0.000 0.500
Br 0.500 0.500 0.000



CrCu2SnBr: relaxed, PBE.

Calculated values
M_tot: 0.90 μB/atom
Crystal system: tetragonal
Electronic total energy: -3.857 eV per atom

a b c (Å): 4.773 4.773 5.347
angles (deg): 90.00 90.00 90.00
Space group P4/mmm (No. 123)
Symmetry-distinct sites (fractional):
Cr 0.000 0.000 0.000
Cu 0.000 0.500 0.000
Sn 0.000 0.000 0.500
Br 0.500 0.500 0.500